! PBE-GGA Mg5Ag4, relaxed; values from VASP
&SYSTEM
  ibrav = 0, nat = 9, ntyp = 2
/
ATOMIC_SPECIES
Mg 24.30 Mg.upf
Ag 107.87 Ag.upf
ATOMIC_POSITIONS crystal
Mg 0.000 0.000 0.000
Mg 0.321 0.321 0.321
Mg 0.323 0.677 0.000
Mg 0.677 0.323 0.000
Mg 0.679 0.679 0.679
Ag 0.001 0.667 0.334
Ag 0.333 0.999 0.666
Ag 0.667 0.001 0.334
Ag 0.999 0.333 0.666
CELL_PARAMETERS angstrom
5.110 -4.719 0.000
5.110 4.719 0.000
-1.392 0.000 3.556
! Calculated formation energy: -0.166 eV per atom
! Total moment: 0.0 μB/f.u.
! Distance to the lowest polymorph of the same formula: 17 meV/atom
! V: 171.5 Å³ per cell
! E_tot: -2.319 eV/atom
! Symmetry: C2/m, No. 12

=====

! PBE-GGA CaCe2HoTe4, relaxed; values from VASP
&SYSTEM
  ibrav = 0, nat = 8, ntyp = 4
/
ATOMIC_SPECIES
Ca 40.08 Ca.upf
Ce 140.12 Ce.upf
Ho 164.93 Ho.upf
Te 127.60 Te.upf
ATOMIC_POSITIONS crystal
Ca 0.000 0.000 0.000
Ce 0.000 0.500 0.500
Ce 0.500 0.000 0.500
Ho 0.500 0.500 0.000
Te 0.249 0.500 0.240
Te 0.256 0.000 0.761
Te 0.744 0.000 0.239
Te 0.751 0.500 0.760
CELL_PARAMETERS angstrom
7.695 0.000 0.000
0.000 4.416 0.000
-2.532 0.000 7.361
! Total moment: 0.1 μB/f.u.
! V: 250.1 Å³ per cell
! E_tot: -5.257 eV/atom
! ΔE_f (raw): -1.3806 eV/atom
! Symmetry: P2/m, No. 10

=====

! PBE-GGA Dy4MgIn2, relaxed; values from VASP
&SYSTEM
  ibrav = 0, nat = 14, ntyp = 3
/
ATOMIC_SPECIES
Dy 162.50 Dy.upf
Mg 24.30 Mg.upf
In 114.82 In.upf
ATOMIC_POSITIONS crystal
Dy 0.082 0.250 0.050
Dy 0.144 0.004 0.719
Dy 0.144 0.496 0.719
Dy 0.304 0.750 0.328
Dy 0.696 0.250 0.672
Dy 0.856 0.504 0.281
Dy 0.856 0.996 0.281
Dy 0.918 0.750 0.950
Mg 0.489 0.750 0.709
Mg 0.511 0.250 0.291
In 0.245 0.250 0.448
In 0.444 0.750 0.036
In 0.556 0.250 0.964
In 0.755 0.750 0.552
CELL_PARAMETERS angstrom
7.520 0.000 0.000
0.000 6.438 0.000
-3.411 0.000 8.301
! Calculated formation energy: -0.131 eV per atom
! Total moment: 0.0 μB/f.u.
! Distance to the lowest polymorph of the same formula: 111 meV/atom
! V: 401.9 Å³ per cell
! E_tot: -3.771 eV/atom
! Symmetry: P2_1/m, No. 11

=====

! PBE-GGA Sr2SiIr, relaxed; values from VASP
&SYSTEM
  ibrav = 0, nat = 4, ntyp = 3
/
ATOMIC_SPECIES
Sr 87.62 Sr.upf
Si 28.09 Si.upf
Ir 192.22 Ir.upf
ATOMIC_POSITIONS crystal
Sr 0.000 0.000 0.000
Sr 0.173 0.173 0.173
Si 0.753 0.753 0.753
Ir 0.420 0.420 0.420
CELL_PARAMETERS angstrom
2.091 1.208 8.324
-2.091 1.208 8.324
0.000 -2.415 8.324
! Total moment: 0.0 μB/f.u.
! V: 126.1 Å³ per cell
! E_tot: -4.967 eV/atom
! ΔE_f (raw): -0.5547 eV/atom
! Symmetry: R3m, No. 160